(1)
The following is a DFT calculation (PBE-GGA) of a relaxed structure of MgNiRu4.

Values from the calculation:
Total magnetization in μB per cell: 2.5
Formation energy in meV/atom: 480
ρ in g cm⁻³: 8.70
VASP energy in eV per atom: -6.933

a = 5.086 Å, b = 5.086 Å, c = 5.086 Å
α = 60.00°, β = 60.00°, γ = 60.00°
Atoms (fractional coordinates):
Mg  0.000  0.000  0.000
Ni  0.750  0.750  0.750
Ru  0.375  0.375  0.375
Ru  0.375  0.375  0.874
Ru  0.375  0.874  0.375
Ru  0.874  0.375  0.375



(2)
The following is a DFT calculation (PBE-GGA) of a relaxed structure of MgNi2Ru.

Values from the calculation:
Total magnetization in μB per cell: 0.0
Formation energy in meV/atom: 24
ρ in g cm⁻³: 7.65
VASP energy in eV per atom: -5.585

a = 2.650 Å, b = 3.702 Å, c = 5.374 Å
α = 90.00°, β = 90.00°, γ = 90.00°
Atoms (fractional coordinates):
Mg  0.000  0.000  0.000
Ni  0.500  0.500  0.271
Ni  0.500  0.500  0.729
Ru  0.000  0.000  0.500



(3)
The following is a DFT calculation (PBE-GGA) of a relaxed structure of MgNi2Ru.

Values from the calculation:
Total magnetization in μB per cell: 0.7
Formation energy in meV/atom: 68
ρ in g cm⁻³: 7.65
VASP energy in eV per atom: -5.540

a = 5.127 Å, b = 5.127 Å, c = 5.127 Å
α = 149.15°, β = 129.73°, γ = 60.16°
Atoms (fractional coordinates):
Mg  0.000  0.000  0.000
Ni  0.260  0.760  0.500
Ni  0.488  0.488  0.000
Ru  0.724  0.224  0.500



(4)
The following is a DFT calculation (PBE-GGA) of a relaxed structure of MgNi2Ru.

Values from the calculation:
Total magnetization in μB per cell: 0.0
Formation energy in meV/atom: 0
ρ in g cm⁻³: 7.77
VASP energy in eV per atom: -5.608

a = 2.649 Å, b = 4.292 Å, c = 4.564 Å
α = 90.00°, β = 90.00°, γ = 90.00°
Atoms (fractional coordinates):
Mg  0.000  0.000  0.000
Ni  0.500  0.000  0.506
Ni  0.500  0.500  0.854
Ru  0.000  0.500  0.380